No. 1
# DyZrNi4, relaxed, DFT PBE-GGA
# DFT formation energy   -0.400 eV per atom
# VASP energy   -6.3032 eV per atom
data_DyZrNi4
_chemical_formula_sum 'Dy4 Zr4 Ni16'
_space_group_name_H-M_alt 'F -4 3 m'
_space_group_IT_number 216
_space_group_name_Hall 'F -4 2 3'
_cell_length_a 7.0540
_cell_length_b 7.0540
_cell_length_c 7.0540
_cell_angle_alpha 90.00
_cell_angle_beta 90.00
_cell_angle_gamma 90.00
loop_
_atom_site_label
_atom_site_type_symbol
_atom_site_fract_x
_atom_site_fract_y
_atom_site_fract_z
Dy1 Dy 0.0000 0.0000 0.0000
Zr1 Zr 0.2500 0.2500 0.2500
Ni1 Ni 0.1248 0.1248 0.6248

***

No. 2
# LiHoFeSe3, relaxed, DFT PBE-GGA
# Relative energy among the computed polymorphs   0.065 eV per atom
# VASP energy   -5.2859 eV per atom
data_LiHoFeSe3
_chemical_formula_sum 'Li4 Ho4 Fe4 Se12'
_space_group_name_H-M_alt 'C m c m'
_space_group_IT_number 63
_space_group_name_Hall '-C 2c 2'
_cell_length_a 3.9492
_cell_length_b 12.9019
_cell_length_c 10.6824
_cell_angle_alpha 90.00
_cell_angle_beta 90.00
_cell_angle_gamma 90.00
loop_
_atom_site_label
_atom_site_type_symbol
_atom_site_fract_x
_atom_site_fract_y
_atom_site_fract_z
Li1 Li 0.0000 0.2222 0.2500
Ho1 Ho 0.0000 0.0000 0.0000
Fe1 Fe 0.0000 0.4778 0.7500
Se1 Se 0.0000 0.0930 0.7500
Se2 Se 0.0000 0.3566 0.5778

***

> What is the formula in the second record?

LiHoFeSe3